Arrangement a

Rb2ZrIr: optimized geometry, GGA-PBE.

Lattice parameters (Å, degrees): 9.5404 9.5404 9.5404 93.72 93.72 150.48
Closest atoms and distances in Å follow each position.
Element x y z (fractional)
Rb (0.3750, 0.2205, 0.3455)  2 Ir 3.54, 2 Zr 3.94
Rb (0.7795, 0.1250, 0.1545)  2 Ir 3.54, 2 Zr 3.94
Rb (0.8750, 0.0295, 0.6545)  2 Ir 3.54, 2 Zr 3.94
Rb (0.9705, 0.6250, 0.8455)  2 Ir 3.54, 2 Zr 3.94
Zr (0.2500, 0.7500, 0.5000)  2 Ir 2.43
Zr (0.5000, 0.5000, 0.0000)  2 Ir 2.43
Ir (0.0000, 0.0000, 0.0000)  2 Zr 2.43
Ir (0.7500, 0.2500, 0.5000)  2 Zr 2.43

Arrangement b

Rb2ZrIr: optimized geometry, GGA-PBE.

Lattice parameters (Å, degrees): 5.4362 5.4362 5.4362 60.00 60.00 60.00
Closest atoms and distances in Å follow each position.
Element x y z (fractional)
Rb (0.2500, 0.2500, 0.2500)  4 Zr 3.33, 4 Ir 3.33
Rb (0.7500, 0.7500, 0.7500)  4 Zr 3.33, 4 Ir 3.33
Zr (0.0000, 0.0000, 0.0000)  8 Rb 3.33
Ir (0.5000, 0.5000, 0.5000)  8 Rb 3.33

Relative energies, unit kJ/mol of atoms: arrangement a 0.0; arrangement b 95.3

Arrangement a

Re3Ir4: optimized geometry, GGA-PBE.

Lattice parameters (Å, degrees): 5.0417 5.0417 4.8992 90.00 90.00 120.00
Closest atoms and distances in Å follow each position.
Element x y z (fractional)
Re (0.0000, 0.5000, 0.0000)  4 Re 2.52, 4 Ir 2.82
Re (0.5000, 0.0000, 0.0000)  4 Re 2.52, 4 Ir 2.82
Re (0.5000, 0.5000, 0.0000)  4 Re 2.52, 4 Ir 2.82
Ir (0.0000, 0.0000, 0.2569)  2 Ir 2.38-2.52
Ir (0.0000, 0.0000, 0.7431)  2 Ir 2.38-2.52
Ir (0.3333, 0.6667, 0.5000)  6 Re 2.85, 9 Ir 2.91-3.15
Ir (0.6667, 0.3333, 0.5000)  6 Re 2.85, 9 Ir 2.91-3.15

Arrangement b

Re3Ir4: optimized geometry, GGA-PBE.

Lattice parameters (Å, degrees): 9.9030 9.9030 9.9030 160.76 160.76 27.34
Closest atoms and distances in Å follow each position.
Element x y z (fractional)
Re (0.0000, 0.0000, 0.0000)  10 Ir 2.72-2.75
Re (0.2891, 0.2891, 0.0000)  6 Ir 2.67-2.81, 4 Re 2.78
Re (0.7109, 0.7109, 0.0000)  6 Ir 2.67-2.81, 4 Re 2.78
Ir (0.1429, 0.1429, 0.0000)  6 Re 2.68-2.81, 4 Ir 2.71
Ir (0.4278, 0.4278, 0.0000)  5 Re 2.67-2.72, 5 Ir 2.71-2.78
Ir (0.5722, 0.5722, 0.0000)  5 Re 2.67-2.72, 5 Ir 2.71-2.78
Ir (0.8571, 0.8571, 0.0000)  6 Re 2.68-2.81, 4 Ir 2.71

Relative energies, unit kJ/mol of atoms: arrangement a 1.4; arrangement b 0.0

Arrangement a

Re3Ir2: optimized geometry, GGA-PBE.

Lattice parameters (Å, degrees): 11.3145 11.3145 11.3145 13.99 13.99 13.99
Closest atoms and distances in Å follow each position.
Element x y z (fractional)
Re (0.0000, 0.0000, 0.0000)  6 Ir 2.72, 6 Re 2.76
Re (0.1998, 0.1998, 0.1998)  9 Re 2.74-2.76, 3 Ir 2.78
Re (0.8002, 0.8002, 0.8002)  9 Re 2.74-2.76, 3 Ir 2.78
Ir (0.3991, 0.3991, 0.3991)  6 Re 2.72-2.78, 6 Ir 2.76
Ir (0.6009, 0.6009, 0.6009)  6 Re 2.72-2.78, 6 Ir 2.76

Arrangement b

Re3Ir2: optimized geometry, GGA-PBE.

Lattice parameters (Å, degrees): 7.0864 5.2820 8.1691 59.02 39.72 81.25
Closest atoms and distances in Å follow each position.
Element x y z (fractional)
Re (0.0000, 0.0000, 0.0000)  4 Ir 2.58-2.77, 2 Re 2.60
Re (0.2500, 0.2500, 0.2500)  4 Ir 2.58-2.77, 2 Re 2.60
Re (0.3990, 0.5103, 0.3968)  4 Re 2.60-2.86, 6 Ir 2.69-2.81
Re (0.5103, 0.3990, 0.6939)  4 Re 2.60-2.86, 6 Ir 2.69-2.81
Re (0.5561, 0.8532, 0.7397)  4 Re 2.60-2.86, 6 Ir 2.69-2.81
Re (0.8532, 0.5561, 0.8510)  4 Re 2.60-2.86, 6 Ir 2.69-2.81
Ir (0.1105, 0.7707, 0.2996)  8 Re 2.58-2.81, 2 Ir 2.75
Ir (0.4307, 0.9504, 0.4793)  8 Re 2.58-2.81, 2 Ir 2.75
Ir (0.7707, 0.1105, 0.8193)  8 Re 2.58-2.81, 2 Ir 2.75
Ir (0.9504, 0.4307, 0.1395)  8 Re 2.58-2.81, 2 Ir 2.75

Arrangement c

Re3Ir2: optimized geometry, GGA-PBE.

Lattice parameters (Å, degrees): 4.1950 4.1950 5.5404 90.00 90.00 120.00
Closest atoms and distances in Å follow each position.
Element x y z (fractional)
Re (0.0000, 0.0000, 0.0000)  6 Ir 2.53
Re (0.3333, 0.6667, 0.4055)  4 Ir 2.56-2.86, 3 Re 2.64
Re (0.6667, 0.3333, 0.5945)  4 Ir 2.56-2.86, 3 Re 2.64
Ir (0.3333, 0.6667, 0.8676)  4 Re 2.53-2.56, 3 Ir 2.83
Ir (0.6667, 0.3333, 0.1325)  4 Re 2.53-2.56, 3 Ir 2.83

Relative energies, unit kJ/mol of atoms: arrangement a 0.0; arrangement b 7.6; arrangement c 70.4

Arrangement a

Re5Ir4: optimized geometry, GGA-PBE.

Lattice parameters (Å, degrees): 7.5566 7.5566 5.4635 90.00 90.00 120.00
Closest atoms and distances in Å follow each position.
Element x y z (fractional)
Re (0.0000, 0.3353, 0.2500)  5 Ir 2.50-2.73
Re (0.0000, 0.6647, 0.7500)  5 Ir 2.50-2.73
Re (0.3333, 0.6667, 0.0000)  8 Re 2.73-2.86, 6 Ir 2.86
Re (0.3333, 0.6667, 0.5000)  8 Re 2.73-2.86, 6 Ir 2.86
Re (0.3353, 0.0000, 0.2500)  5 Ir 2.50-2.73
Re (0.3353, 0.3353, 0.7500)  5 Ir 2.50-2.73
Re (0.6647, 0.0000, 0.7500)  5 Ir 2.50-2.73
Re (0.6647, 0.6647, 0.2500)  5 Ir 2.50-2.73
Re (0.6667, 0.3333, 0.0000)  8 Re 2.73-2.86, 6 Ir 2.86
Re (0.6667, 0.3333, 0.5000)  8 Re 2.73-2.86, 6 Ir 2.86
Ir (0.0000, 0.0000, 0.0000)  8 Ir 2.73-2.87, 6 Re 2.88
Ir (0.0000, 0.0000, 0.5000)  8 Ir 2.73-2.87, 6 Re 2.88
Ir (0.0000, 0.3342, 0.7500)  5 Re 2.50-2.73
Ir (0.0000, 0.6658, 0.2500)  5 Re 2.50-2.73
Ir (0.3342, 0.0000, 0.7500)  5 Re 2.50-2.73
Ir (0.3342, 0.3342, 0.2500)  5 Re 2.50-2.73
Ir (0.6658, 0.0000, 0.2500)  5 Re 2.50-2.73
Ir (0.6658, 0.6658, 0.7500)  5 Re 2.50-2.73

Arrangement b

Re5Ir4: optimized geometry, GGA-PBE.

Lattice parameters (Å, degrees): 6.1600 6.1600 6.1600 95.69 95.69 143.29
Closest atoms and distances in Å follow each position.
Element x y z (fractional)
Re (0.0000, 0.0000, 0.0000)  4 Ir 2.70, 8 Re 2.76
Re (0.3322, 0.3322, 0.6644)  6 Ir 2.72-2.75, 6 Re 2.73-2.77
Re (0.3322, 0.6678, 0.0000)  6 Ir 2.72-2.75, 6 Re 2.73-2.77
Re (0.6678, 0.3322, 0.0000)  6 Ir 2.72-2.75, 6 Re 2.73-2.77
Re (0.6678, 0.6678, 0.3356)  6 Ir 2.72-2.75, 6 Re 2.73-2.77
Ir (0.0000, 0.3263, 0.3263)  7 Re 2.70-2.75, 5 Ir 2.81-2.87
Ir (0.0000, 0.6737, 0.6737)  7 Re 2.70-2.75, 5 Ir 2.81-2.87
Ir (0.3263, 0.0000, 0.3263)  7 Re 2.70-2.75, 5 Ir 2.81-2.87
Ir (0.6737, 0.0000, 0.6737)  7 Re 2.70-2.75, 5 Ir 2.81-2.87

Relative energies, unit kJ/mol of atoms: arrangement a 16.8; arrangement b 0.0

Arrangement a

Re4Ir3: optimized geometry, GGA-PBE.

Lattice parameters (Å, degrees): 5.0542 5.0542 4.8226 90.00 90.00 120.00
Closest atoms and distances in Å follow each position.
Element x y z (fractional)
Re (0.0000, 0.0000, 0.2420)  2 Re 2.33-2.49
Re (0.0000, 0.0000, 0.7580)  2 Re 2.33-2.49
Re (0.3333, 0.6667, 0.0000)  6 Ir 2.82, 9 Re 2.92-3.14
Re (0.6667, 0.3333, 0.0000)  6 Ir 2.82, 9 Re 2.92-3.14
Ir (0.0000, 0.5000, 0.5000)  4 Ir 2.53, 8 Re 2.82
Ir (0.5000, 0.0000, 0.5000)  4 Ir 2.53, 8 Re 2.82
Ir (0.5000, 0.5000, 0.5000)  4 Ir 2.53, 8 Re 2.82

Arrangement b

Re4Ir3: optimized geometry, GGA-PBE.

Lattice parameters (Å, degrees): 9.9562 9.9562 9.9562 160.89 160.89 27.15
Closest atoms and distances in Å follow each position.
Element x y z (fractional)
Re (0.0702, 0.0702, 0.0000)  5 Ir 2.70-2.81, 5 Re 2.72-2.74
Re (0.3562, 0.3562, 0.0000)  6 Ir 2.72-2.78, 4 Re 2.74
Re (0.6438, 0.6438, 0.0000)  6 Ir 2.72-2.78, 4 Re 2.74
Re (0.9298, 0.9298, 0.0000)  5 Ir 2.70-2.81, 5 Re 2.72-2.74
Ir (0.2152, 0.2152, 0.0000)  4 Ir 2.70, 6 Re 2.72-2.81
Ir (0.5000, 0.5000, 0.0000)  10 Re 2.70-2.78
Ir (0.7848, 0.7848, 0.0000)  4 Ir 2.70, 6 Re 2.72-2.81

Relative energies, unit kJ/mol of atoms: arrangement a 0.0; arrangement b 0.5

Arrangement a

ReIr2Rh6: optimized geometry, GGA-PBE.

Lattice parameters (Å, degrees): 7.3885 7.3885 5.0175 93.95 93.95 99.25
Closest atoms and distances in Å follow each position.
Element x y z (fractional)
Re (0.0952, 0.9048, 0.7500)  8 Rh 2.53-2.79
Re (0.9048, 0.0952, 0.2500)  8 Rh 2.53-2.79
Ir (0.3527, 0.3996, 0.6190)  4 Ir 2.56-2.82, 6 Rh 2.57-2.82
Ir (0.3996, 0.3527, 0.1190)  4 Ir 2.56-2.82, 6 Rh 2.57-2.82
Ir (0.6004, 0.6473, 0.8810)  4 Ir 2.56-2.82, 6 Rh 2.57-2.82
Ir (0.6473, 0.6004, 0.3810)  4 Ir 2.56-2.82, 6 Rh 2.57-2.82
Rh (0.0444, 0.2403, 0.7931)  2 Re 2.56-2.79, 1 Ir 2.63, 4 Rh 2.70-2.81
Rh (0.0718, 0.4241, 0.2996)  1 Re 2.53, 2 Ir 2.57-2.76, 5 Rh 2.61-2.81
Rh (0.2403, 0.0444, 0.2931)  2 Re 2.56-2.79, 1 Ir 2.63, 4 Rh 2.70-2.81
Rh (0.2546, 0.6621, 0.9928)  6 Rh 2.62-2.91, 1 Re 2.62, 3 Ir 2.67-2.82
Rh (0.3379, 0.7454, 0.5072)  6 Rh 2.62-2.91, 1 Re 2.62, 3 Ir 2.67-2.82
Rh (0.4241, 0.0718, 0.7996)  1 Re 2.53, 2 Ir 2.57-2.76, 5 Rh 2.61-2.81
Rh (0.5759, 0.9282, 0.2004)  1 Re 2.53, 2 Ir 2.57-2.76, 5 Rh 2.61-2.81
Rh (0.6621, 0.2546, 0.4928)  6 Rh 2.62-2.91, 1 Re 2.62, 3 Ir 2.67-2.82
Rh (0.7454, 0.3379, 0.0072)  6 Rh 2.62-2.91, 1 Re 2.62, 3 Ir 2.67-2.82
Rh (0.7597, 0.9556, 0.7069)  2 Re 2.56-2.79, 1 Ir 2.63, 4 Rh 2.70-2.81
Rh (0.9282, 0.5759, 0.7004)  1 Re 2.53, 2 Ir 2.57-2.76, 5 Rh 2.61-2.81
Rh (0.9556, 0.7597, 0.2069)  2 Re 2.56-2.79, 1 Ir 2.63, 4 Rh 2.70-2.81

Arrangement b

ReIr2Rh6: optimized geometry, GGA-PBE.

Lattice parameters (Å, degrees): 4.5458 4.5458 8.1389 107.34 107.34 58.70
Closest atoms and distances in Å follow each position.
Element x y z (fractional)
Re (0.0000, 0.0000, 0.0000)  10 Rh 2.58-2.71
Ir (0.2952, 0.2952, 0.5998)  9 Rh 2.63-2.92, 2 Ir 2.71
Ir (0.7048, 0.7048, 0.4002)  9 Rh 2.63-2.92, 2 Ir 2.71
Rh (0.0045, 0.0045, 0.3187)  1 Re 2.58, 4 Rh 2.61-2.66, 4 Ir 2.63-2.68
Rh (0.3128, 0.3128, 0.2700)  6 Rh 2.61-2.76, 1 Re 2.69, 3 Ir 2.73-2.74
Rh (0.3139, 0.3139, 0.9362)  3 Re 2.62-2.71, 7 Rh 2.66-2.79, 1 Ir 2.69
Rh (0.6861, 0.6861, 0.0638)  3 Re 2.62-2.71, 7 Rh 2.66-2.79, 1 Ir 2.69
Rh (0.6872, 0.6872, 0.7300)  6 Rh 2.61-2.76, 1 Re 2.69, 3 Ir 2.73-2.74
Rh (0.9955, 0.9955, 0.6813)  1 Re 2.58, 4 Rh 2.61-2.66, 4 Ir 2.63-2.68

Relative energies, unit kJ/mol of atoms: arrangement a 4.3; arrangement b 0.0

Arrangement a

Re2IrRh6: optimized geometry, GGA-PBE.

Lattice parameters (Å, degrees): 7.7457 7.7457 7.7457 159.80 123.36 60.77
Closest atoms and distances in Å follow each position.
Element x y z (fractional)
Re (0.1763, 0.0000, 0.1763)  6 Rh 2.54-2.68, 3 Re 2.59-2.72, 2 Ir 2.74
Re (0.8237, 0.0000, 0.8237)  6 Rh 2.54-2.68, 3 Re 2.59-2.72, 2 Ir 2.74
Ir (0.5000, 0.5000, 0.0000)  2 Ir 2.72, 4 Re 2.74, 8 Rh 2.98
Rh (0.1427, 0.6427, 0.5000)  4 Re 2.68, 8 Rh 2.72-2.79
Rh (0.1498, 0.8274, 0.3224)  1 Re 2.54, 8 Rh 2.61-2.79
Rh (0.4951, 0.1726, 0.3224)  1 Re 2.54, 8 Rh 2.61-2.79
Rh (0.5049, 0.8274, 0.6776)  1 Re 2.54, 8 Rh 2.61-2.79
Rh (0.8502, 0.1726, 0.6776)  1 Re 2.54, 8 Rh 2.61-2.79
Rh (0.8573, 0.3573, 0.5000)  4 Re 2.68, 8 Rh 2.72-2.79

Arrangement b

Re2IrRh6: optimized geometry, GGA-PBE.

Lattice parameters (Å, degrees): 4.7226 4.7226 8.1944 106.93 106.93 48.14
Closest atoms and distances in Å follow each position.
Element x y z (fractional)
Re (0.1679, 0.1679, 0.2287)  10 Rh 2.67-2.76, 2 Ir 2.75
Re (0.8321, 0.8321, 0.7713)  10 Rh 2.67-2.76, 2 Ir 2.75
Ir (0.5000, 0.5000, 0.0000)  8 Rh 2.67-2.72, 4 Re 2.75
Rh (0.1679, 0.1679, 0.8931)  5 Rh 2.68-2.78, 3 Ir 2.72, 4 Re 2.75-2.76
Rh (0.1711, 0.1711, 0.5552)  3 Re 2.67-2.68, 9 Rh 2.68-2.80
Rh (0.4967, 0.4967, 0.3247)  1 Ir 2.67, 3 Re 2.69, 8 Rh 2.70-2.86
Rh (0.5033, 0.5033, 0.6753)  1 Ir 2.67, 3 Re 2.69, 8 Rh 2.70-2.86
Rh (0.8289, 0.8289, 0.4448)  3 Re 2.67-2.68, 9 Rh 2.68-2.80
Rh (0.8321, 0.8321, 0.1069)  5 Rh 2.68-2.78, 3 Ir 2.72, 4 Re 2.75-2.76

Relative energies, unit kJ/mol of atoms: arrangement a 13.5; arrangement b 0.0

Arrangement a

ReIrRh2: optimized geometry, GGA-PBE.

Lattice parameters (Å, degrees): 2.7130 3.9111 5.4255 90.00 90.00 90.00
Closest atoms and distances in Å follow each position.
Element x y z (fractional)
Re (0.0000, 0.0000, 0.0000)  2 Ir 2.71, 2 Re 2.71, 8 Rh 2.73
Ir (0.0000, 0.0000, 0.5000)  2 Re 2.71, 2 Ir 2.71, 8 Rh 2.75
Rh (0.5000, 0.5000, 0.2465)  4 Rh 2.67-2.75, 4 Re 2.73, 4 Ir 2.75
Rh (0.5000, 0.5000, 0.7535)  4 Rh 2.67-2.75, 4 Re 2.73, 4 Ir 2.75

Arrangement b

ReIrRh2: optimized geometry, GGA-PBE.

Lattice parameters (Å, degrees): 2.7245 3.8773 5.4514 90.00 90.00 90.00
Closest atoms and distances in Å follow each position.
Element x y z (fractional)
Re (0.0000, 0.0000, 0.0000)  4 Ir 2.71, 6 Rh 2.72-2.73, 2 Re 2.72
Ir (0.5000, 0.5000, 0.7570)  6 Rh 2.69-2.76, 4 Re 2.71, 2 Ir 2.72
Rh (0.0000, 0.0000, 0.5014)  2 Re 2.72-2.73, 6 Rh 2.72-2.74, 4 Ir 2.75
Rh (0.5000, 0.5000, 0.2499)  2 Ir 2.69-2.76, 6 Rh 2.72-2.74, 4 Re 2.73

Arrangement c

ReIrRh2: optimized geometry, GGA-PBE.

Lattice parameters (Å, degrees): 6.5288 6.5288 6.5288 140.70 60.25 136.25
Closest atoms and distances in Å follow each position.
Element x y z (fractional)
Re (0.0764, 0.2500, 0.3264)  1 Ir 2.46, 4 Rh 2.60-2.71
Re (0.9236, 0.7500, 0.6736)  1 Ir 2.46, 4 Rh 2.60-2.71
Ir (0.5631, 0.8903, 0.1728)  1 Re 2.46, 5 Rh 2.63-2.74
Ir (0.7175, 0.3903, 0.8272)  1 Re 2.46, 5 Rh 2.63-2.74
Rh (0.3040, 0.2424, 0.5616)  2 Ir 2.63, 3 Re 2.66-2.77, 6 Rh 2.74-2.80
Rh (0.3307, 0.8984, 0.9323)  2 Re 2.60, 3 Ir 2.67-2.74, 6 Rh 2.74-2.87
Rh (0.6808, 0.7424, 0.4384)  2 Ir 2.63, 3 Re 2.66-2.77, 6 Rh 2.74-2.80
Rh (0.9662, 0.3984, 0.0677)  2 Re 2.60, 3 Ir 2.67-2.74, 6 Rh 2.74-2.87

Relative energies, unit kJ/mol of atoms: arrangement a 4.0; arrangement b 0.0; arrangement c 23.2